Version a
The following is a PBE calculation of a relaxed structure of CoSiBr, from Alexandria.

Calculated volume = 19.43 Å³/atom

Lattice parameters (Å, degrees): 6.155 6.155 6.155 90.00 90.00 90.00
Space group F-43m (No. 216)
Symmetry-distinct sites (fractional):
Co1 0.000 0.000 0.000
Si1 0.250 0.250 0.750
Br1 0.000 0.000 0.500

***

Version b
The following is a PBE calculation of a relaxed structure of CoSiBr, from Alexandria.

Calculated volume = 17.67 Å³/atom

Lattice parameters (Å, degrees): 2.735 3.325 11.663 90.00 90.00 90.00
Space group Imm2 (No. 44)
Symmetry-distinct sites (fractional):
Co1 0.000 0.000 0.000
Si1 0.000 0.000 0.567
Br1 0.000 0.000 0.789

***

Version c
The following is a PBE calculation of a relaxed structure of CoSiBr, from Alexandria.

Calculated volume = 19.56 Å³/atom

Lattice parameters (Å, degrees): 3.164 3.164 11.727 90.00 90.00 90.00
Space group I4mm (No. 107)
Symmetry-distinct sites (fractional):
Co1 0.000 0.000 0.000
Si1 0.000 0.000 0.440
Br1 0.000 0.000 0.655

***

Energies relative to the minimum, meV per atom: version a 977; version b 0; version c 317

***

Version a
The following is a PBE calculation of a relaxed structure of CoSi2Br, from Alexandria.

Calculated volume = 16.82 Å³/atom

Lattice parameters (Å, degrees): 3.550 3.550 5.339 90.00 90.00 90.00
Space group P4/mmm (No. 123)
Symmetry-distinct sites (fractional):
Co1 0.000 0.000 0.000
Si1 0.000 0.500 0.500
Br1 0.500 0.500 0.000

***

Version b
The following is a PBE calculation of a relaxed structure of CoSi2Br, from Alexandria.

Calculated volume = 22.28 Å³/atom

Lattice parameters (Å, degrees): 5.747 5.747 10.792 90.00 90.00 90.00
Space group I-42d (No. 122)
Symmetry-distinct sites (fractional):
Co1 0.000 0.000 0.000
Si1 0.145 0.250 0.125
Br1 0.000 0.000 0.500

***

Energies relative to the minimum, meV per atom: version a 422; version b 0

***

Version a
The following is a PBE calculation of a relaxed structure of CoSi2Br, from Alexandria.

Calculated volume = 19.43 Å³/atom

Lattice parameters (Å, degrees): 3.891 3.587 5.567 90.00 90.89 90.00
Space group Pm (No. 6)
Symmetry-distinct sites (fractional):
Co1 0.000 0.000 0.000
Si1 0.111 0.500 0.240
Si2 0.523 0.000 0.203
Br1 0.944 0.500 0.681

***

Version b
The following is a PBE calculation of a relaxed structure of CoSi2Br, from Alexandria.

Calculated volume = 15.88 Å³/atom

Lattice parameters (Å, degrees): 4.699 4.699 2.876 90.00 90.00 90.00
Space group P4/mmm (No. 123)
Symmetry-distinct sites (fractional):
Co1 0.000 0.000 0.000
Si1 0.000 0.500 0.500
Br1 0.500 0.500 0.000

***

Version c
The following is a PBE calculation of a relaxed structure of CoSi2Br, from Alexandria.

Calculated volume = 17.46 Å³/atom

Lattice parameters (Å, degrees): 3.4837 3.4837 19.9390 90.00 90.00 120.00
Space group R-3m (No. 166, hexagonal axes)
Symmetry-distinct sites (fractional):
Co1 0.0000 0.0000 0.0000
Si1 0.0000 0.0000 0.2793
Br1 0.0000 0.0000 0.5000

***

Version d
The following is a PBE calculation of a relaxed structure of CoSi2Br, from Alexandria.

Calculated volume = 15.67 Å³/atom

Lattice parameters (Å, degrees): 5.531 7.530 3.010 90.00 90.00 90.00
Space group Cmmm (No. 65)
Symmetry-distinct sites (fractional):
Co1 0.000 0.000 0.000
Si1 0.250 0.250 0.500
Br1 0.000 0.500 0.000

***

Energies relative to the minimum, meV per atom: version a 14; version b 658; version c 0; version d 647

***

Version a
The following is a PBE calculation of a relaxed structure of CoSi2Br, from Alexandria.

Calculated volume = 16.75 Å³/atom

Lattice parameters (Å, degrees): 2.843 4.959 9.504 90.00 90.00 90.00
Space group Imm2 (No. 44)
Symmetry-distinct sites (fractional):
Co1 0.000 0.000 0.000
Si1 0.000 0.000 0.442
Si2 0.000 0.500 0.684
Br1 0.000 0.500 0.275

***

Version b
The following is a PBE calculation of a relaxed structure of CoSi2Br, from Alexandria.

Calculated volume = 15.90 Å³/atom

Lattice parameters (Å, degrees): 6.336 6.336 6.336 90.00 90.00 90.00
Space group F-43m (No. 216)
Symmetry-distinct sites (fractional):
Co1 0.000 0.000 0.000
Si1 0.000 0.000 0.500
Si2 0.250 0.250 0.250
Br1 0.250 0.250 0.750

***

Version c
The following is a PBE calculation of a relaxed structure of CoSi2Br, from Alexandria.

Calculated volume = 16.45 Å³/atom

Lattice parameters (Å, degrees): 6.409 6.409 6.409 90.00 90.00 90.00
Space group Fm-3m (No. 225)
Symmetry-distinct sites (fractional):
Co1 0.000 0.000 0.000
Si1 0.250 0.250 0.250
Br1 0.000 0.000 0.500

***

Version d
The following is a PBE calculation of a relaxed structure of CoSi2Br, from Alexandria.

Calculated volume = 16.38 Å³/atom

Lattice parameters (Å, degrees): 5.099 5.099 5.038 90.00 90.00 90.00
Space group I4/mmm (No. 139)
Symmetry-distinct sites (fractional):
Co1 0.000 0.000 0.000
Si1 0.000 0.500 0.000
Br1 0.000 0.000 0.500

***

Energies relative to the minimum, meV per atom: version a 0; version b 274; version c 440; version d 22

***

Version a
The following is a PBE calculation of a relaxed structure of CoSi2Br, from Alexandria.

Calculated volume = 16.01 Å³/atom

Lattice parameters (Å, degrees): 11.458 2.798 4.306 90.00 111.95 90.00
Space group C2/m (No. 12)
Symmetry-distinct sites (fractional):
Co1 0.000 0.000 0.000
Si1 0.195 0.500 0.194
Br1 0.000 0.500 0.500

***

Version b
The following is a PBE calculation of a relaxed structure of CoSi2Br, from Alexandria.

Calculated volume = 15.88 Å³/atom

Lattice parameters (Å, degrees): 2.951 2.951 7.291 90.00 90.00 90.00
Space group P4/mmm (No. 123)
Symmetry-distinct sites (fractional):
Co1 0.000 0.000 0.000
Si1 0.500 0.500 0.180
Br1 0.000 0.000 0.500

***

Energies relative to the minimum, meV per atom: version a 186; version b 0

***

Version a
The following is a PBE calculation of a relaxed structure of CoSi2Br, from Alexandria.

Calculated volume = 19.40 Å³/atom

Lattice parameters (Å, degrees): 3.475 3.475 12.856 90.00 90.00 90.00
Space group I4/mmm (No. 139)
Symmetry-distinct sites (fractional):
Co1 0.000 0.000 0.000
Si1 0.000 0.500 0.250
Br1 0.000 0.000 0.500

***

Version b
The following is a PBE calculation of a relaxed structure of CoSi2Br, from Alexandria.

Calculated volume = 19.69 Å³/atom

Lattice parameters (Å, degrees): 7.003 3.308 7.186 90.00 108.86 90.00
Space group Cm (No. 8)
Symmetry-distinct sites (fractional):
Co1 0.000 0.000 0.000
Si1 0.014 0.500 0.292
Si2 0.249 0.500 0.138
Br1 0.215 0.000 0.775

***

Version c
The following is a PBE calculation of a relaxed structure of CoSi2Br, from Alexandria.

Calculated volume = 16.46 Å³/atom

Lattice parameters (Å, degrees): 4.675 9.426 2.988 90.00 90.00 90.00
Space group Cmmm (No. 65)
Symmetry-distinct sites (fractional):
Co1 0.000 0.000 0.000
Si1 0.000 0.194 0.500
Br1 0.000 0.500 0.000

***

Version d
The following is a PBE calculation of a relaxed structure of CoSi2Br, from Alexandria.

Calculated volume = 18.04 Å³/atom

Lattice parameters (Å, degrees): 3.020 3.180 7.515 90.00 90.00 90.00
Space group Pmm2 (No. 25)
Symmetry-distinct sites (fractional):
Co1 0.000 0.000 0.000
Si1 0.000 0.000 0.682
Si2 0.500 0.500 0.874
Br1 0.500 0.500 0.242

***

Energies relative to the minimum, meV per atom: version a 545; version b 0; version c 24; version d 96